Entry 1:
## CdP2NO (GGA-PBE)

Data for a relaxed CdP2NO crystal.

Cell: 4.9682 4.9682 3.9396 Å, 90.00 90.00 90.00°
Closest atoms and distances in Å follow each position.
Atoms (fractional coordinates):
1 Cd 0.0000 0.0000 0.0000  2 O 1.97
2 P 0.0000 0.5000 0.0000  2 Cd 2.48
3 P 0.5000 0.0000 0.0000  2 Cd 2.48
4 N 0.5000 0.5000 0.5000  8 P 3.17, 4 O 3.51
5 O 0.0000 0.0000 0.5000  2 Cd 1.97

Calculated values
The distance to the lowest polymorph of the same formula comes out at 1263.5 meV per atom. The formation energy without anion corrections is 10.50 eV per formula unit. As for the crystal system: tetragonal. As for the total magnetization: 0.00 μB per formula unit.



Entry 2:
## CdP2NO (GGA-PBE)

Data for a relaxed CdP2NO crystal.

Cell: 3.5890 3.5890 6.3949 Å, 90.00 90.00 90.00°
Closest atoms and distances in Å follow each position.
Atoms (fractional coordinates):
1 Cd 0.0000 0.0000 0.0000  4 O 2.54
2 P 0.0000 0.5000 0.5000  2 N 1.79
3 P 0.5000 0.0000 0.5000  2 N 1.79
4 N 0.5000 0.5000 0.5000  4 P 1.79
5 O 0.5000 0.5000 0.0000  4 Cd 2.54

Calculated values
The distance to the lowest polymorph of the same formula comes out at 0.0 meV per atom. The formation energy without anion corrections is 4.18 eV per formula unit. As for the crystal system: tetragonal. As for the total magnetization: 0.00 μB per formula unit.